! Nb2RuPt2, optimized geometry, DFT PBE-GGA; values from VASP
&SYSTEM
  ibrav = 0, nat = 10, ntyp = 3
/
ATOMIC_SPECIES
Nb 92.91 Nb.upf
Ru 101.07 Ru.upf
Pt 195.08 Pt.upf
ATOMIC_POSITIONS angstrom
Nb 1.261 2.344 0.000
Nb 2.344 5.950 0.000
Nb 4.867 1.261 0.000
Nb 5.950 4.867 0.000
Ru 0.000 0.000 1.638
Ru 3.606 3.606 1.638
Pt 0.938 4.544 1.638
Pt 2.668 0.938 1.638
Pt 4.544 6.274 1.638
Pt 6.274 2.668 1.638
CELL_PARAMETERS angstrom
7.212 0.000 0.000
0.000 7.212 0.000
0.000 0.000 3.276
! - DFT formation energy (eV/atom) = -0.27
! - size of the total moment (μB/cell) = 0.01
! - crystal system = tetragonal
! - mass density (kg/m³) = 13198
! - symmetry = No. 127
! - energy above the most stable polymorph in this dataset (meV/atom) = 83